No. 1
Entry from the Alexandria database: MnPPt2 after structural relaxation (PBE).

Lattice parameters (Å, degrees): 6.2034 6.2034 6.2034 90.00 90.00 90.00
With the nearest neighbours (Å) after each atom.
Space group F-43m (No. 216)
One atom of each set of equivalent atoms:
Mn 0.0000 0.0000 0.0000 (multiplicity 4)  4 Pt 2.69, 4 P 2.69
P 0.2500 0.2500 0.2500 (multiplicity 4)  4 Mn 2.69, 4 Pt 2.69
Pt 0.0000 0.0000 0.5000 (multiplicity 4)  4 P 2.69, 4 Pt 2.69
Pt 0.2500 0.2500 0.7500 (multiplicity 4)  4 Mn 2.69, 4 Pt 2.69

=====

No. 2
Entry from the Alexandria database: Tb3Pm2Sm after structural relaxation (PBE).

Lattice parameters (Å, degrees): 23.3960 3.5180 10.3492 90.00 108.49 90.00
With the nearest neighbours (Å) after each atom.
Space group C2/m (No. 12)
One atom of each set of equivalent atoms:
Tb 0.0593 0.0000 0.4451 (multiplicity 4)  8 Tb 3.31-3.69, 3 Pm 3.41-3.69
Tb 0.0687 0.5000 0.7650 (multiplicity 4)  8 Tb 3.52-3.69, 2 Pm 3.64-3.87, 2 Sm 3.71
Tb 0.1950 0.0000 0.7156 (multiplicity 4)  3 Sm 3.39-3.57, 5 Tb 3.50-3.61, 3 Pm 3.53-3.54
Pm 0.0681 0.5000 0.1383 (multiplicity 4)  5 Pm 3.52-3.58, 4 Tb 3.64-3.87, 2 Sm 3.72
Pm 0.1915 0.0000 0.3711 (multiplicity 4)  4 Tb 3.41-3.54, 1 Sm 3.43, 6 Pm 3.52-3.62
Sm 0.1874 0.0000 0.0372 (multiplicity 4)  5 Tb 3.39-3.71, 3 Pm 3.43-3.72, 4 Sm 3.52-3.70

=====

No. 3
Entry from the Alexandria database: SrMgCl3 after structural relaxation (PBE).

Lattice parameters (Å, degrees): 5.6419 5.6419 5.6419 90.00 90.00 90.00
With the nearest neighbours (Å) after each atom.
Space group Pm-3m (No. 221)
One atom of each set of equivalent atoms:
Sr 0.0000 0.0000 0.0000 (multiplicity 1)  6 Cl 2.82
Mg 0.5000 0.5000 0.5000 (multiplicity 1)  12 Cl 3.99
Cl 0.0000 0.0000 0.5000 (multiplicity 3)  2 Sr 2.82

Values from the calculation:
- Uncorrected formation energy: -7.46 eV/f.u.

=====

No. 4
Entry from the Alexandria database: Co2Mo2H after structural relaxation (PBE).

Lattice parameters (Å, degrees): 3.0853 3.0853 13.2861 90.00 90.00 90.00
With the nearest neighbours (Å) after each atom.
Space group I4/mmm (No. 139)
One atom of each set of equivalent atoms:
Co 0.0000 0.5000 0.2500 (multiplicity 4)  4 Co 2.18
Mo 0.0000 0.0000 0.0948 (multiplicity 4)  1 Mo 2.52, 4 H 2.52, 4 Co 2.58
H 0.0000 0.0000 0.5000 (multiplicity 2)  8 Mo 2.52

=====

No. 5
Entry from the Alexandria database: CsAlPb2N after structural relaxation (PBE).

Lattice parameters (Å, degrees): 6.4442 6.4442 3.5719 90.00 90.00 90.00
With the nearest neighbours (Å) after each atom.
Space group P4/mmm (No. 123)
One atom of each set of equivalent atoms:
Cs 0.0000 0.0000 0.0000 (multiplicity 1)  2 Cs 3.57, 8 Pb 3.68
Al 0.5000 0.5000 0.0000 (multiplicity 1)  2 N 1.79
Pb 0.0000 0.5000 0.5000 (multiplicity 2)  2 N 3.22, 2 Pb 3.57
N 0.5000 0.5000 0.5000 (multiplicity 1)  2 Al 1.79

Values from the calculation:
- Uncorrected formation energy: 1.48 eV/f.u.

=====

No. 6
Entry from the Alexandria database: LiCrHg after structural relaxation (PBE).

Lattice parameters (Å, degrees): 4.5505 4.5505 2.9915 90.00 90.00 120.00
With the nearest neighbours (Å) after each atom.
Space group P3m1 (No. 156)
One atom of each set of equivalent atoms:
Li 0.0000 0.0000 0.0000 (multiplicity 1)  3 Hg 2.73, 3 Cr 2.80, 2 Li 2.99
Cr 0.3333 0.6667 0.3262 (multiplicity 1)  3 Li 2.80, 6 Hg 2.93-3.13, 2 Cr 2.99
Hg 0.6667 0.3333 0.7562 (multiplicity 1)  3 Li 2.73, 3 Cr 2.93, 2 Hg 2.99

=====

No. 7
Entry from the Alexandria database: Ag2Te2Br after structural relaxation (PBE).

Lattice parameters (Å, degrees): 5.4574 5.4574 9.4375 90.00 90.00 90.00
With the nearest neighbours (Å) after each atom.
Space group I4/mmm (No. 139)
One atom of each set of equivalent atoms:
Ag 0.0000 0.5000 0.2500 (multiplicity 4)  4 Te 2.89
Te 0.0000 0.0000 0.1492 (multiplicity 4)  1 Te 2.82, 4 Ag 2.89
Br 0.0000 0.0000 0.5000 (multiplicity 2)  2 Te 3.31, 8 Ag 3.61

Values from the calculation:
- Uncorrected formation energy: -0.12 eV/f.u.

=====

No. 8
Entry from the Alexandria database: TlFe2CoBr8 after structural relaxation (PBE).

Lattice parameters (Å, degrees): 10.9683 7.5051 9.5414 90.00 95.13 90.00
With the nearest neighbours (Å) after each atom.
Space group C2/m (No. 12)
One atom of each set of equivalent atoms:
Tl 0.0000 0.0000 0.0000 (multiplicity 2)  6 Br 3.41-3.44
Fe 0.1228 0.5000 0.2914 (multiplicity 4)  4 Br 2.35-2.43
Co 0.0000 0.0000 0.5000 (multiplicity 2)  6 Br 2.55-2.63
Br 0.0108 0.2429 0.6995 (multiplicity 8)  1 Fe 2.43, 1 Co 2.63
Br 0.1975 0.5000 0.0683 (multiplicity 4)  1 Fe 2.35
Br 0.2328 0.0000 0.5082 (multiplicity 4)  1 Fe 2.37, 1 Co 2.55

Values from the calculation:
- Uncorrected formation energy: -5.53 eV/f.u.

=====

No. 9
Entry from the Alexandria database: ZnSi2Ni after structural relaxation (PBE).

Lattice parameters (Å, degrees): 6.0095 6.0095 6.0095 90.00 90.00 90.00
With the nearest neighbours (Å) after each atom.
Space group F-43m (No. 216)
One atom of each set of equivalent atoms:
Zn 0.0000 0.0000 0.0000 (multiplicity 4)  4 Ni 2.60, 4 Si 2.60
Si 0.0000 0.0000 0.5000 (multiplicity 4)  4 Ni 2.60, 4 Si 2.60
Si 0.2500 0.2500 0.7500 (multiplicity 4)  4 Si 2.60, 4 Zn 2.60
Ni 0.2500 0.2500 0.2500 (multiplicity 4)  4 Si 2.60, 4 Zn 2.60

Values from the calculation:
- Uncorrected formation energy: 1.00 eV/f.u.

=====

No. 10
Entry from the Alexandria database: Cd6SnPb after structural relaxation (PBE).

Lattice parameters (Å, degrees): 4.6273 4.6273 9.2879 90.00 90.00 90.00
With the nearest neighbours (Å) after each atom.
Space group P4/mmm (No. 123)
One atom of each set of equivalent atoms:
Cd 0.0000 0.0000 0.0000 (multiplicity 1)  8 Cd 3.24, 4 Sn 3.27
Cd 0.0000 0.0000 0.5000 (multiplicity 1)  4 Pb 3.27, 8 Cd 3.31
Cd 0.0000 0.5000 0.2445 (multiplicity 4)  2 Sn 3.24, 8 Cd 3.24-3.31, 2 Pb 3.31
Sn 0.5000 0.5000 0.0000 (multiplicity 1)  12 Cd 3.24-3.27
Pb 0.5000 0.5000 0.5000 (multiplicity 1)  12 Cd 3.27-3.31

=====

No. 11
Entry from the Alexandria database: CaSi2BAu after structural relaxation (PBE).

Lattice parameters (Å, degrees): 4.1689 4.1689 4.9962 90.00 90.00 90.00
With the nearest neighbours (Å) after each atom.
Space group P4/mmm (No. 123)
One atom of each set of equivalent atoms:
Ca 0.0000 0.0000 0.0000 (multiplicity 1)  2 B 2.50
Si 0.0000 0.5000 0.5000 (multiplicity 2)  2 B 2.08
B 0.0000 0.0000 0.5000 (multiplicity 1)  4 Si 2.08
Au 0.5000 0.5000 0.0000 (multiplicity 1)  4 Ca 2.95, 8 Si 3.25

Values from the calculation:
- Uncorrected formation energy: 1.30 eV/f.u.

=====

No. 12
Entry from the Alexandria database: Na2MgZn3Au12 after structural relaxation (PBE).

Lattice parameters (Å, degrees): 9.3818 9.3818 13.6058 90.00 90.00 120.00
With the nearest neighbours (Å) after each atom.
Space group R-3m (No. 166, hexagonal axes)
One atom of each set of equivalent atoms:
Na 0.0000 0.0000 0.1161 (multiplicity 6)  3 Au 2.77
Mg 0.0000 0.0000 0.5000 (multiplicity 3)  6 Au 2.70
Zn 0.0000 0.5000 0.0000 (multiplicity 9)  6 Au 2.71
Au 0.0057 0.5029 0.1992 (multiplicity 18)  1 Mg 2.70, 1 Zn 2.71, 3 Au 2.76-2.81, 1 Na 2.77
Au 0.0441 0.5220 0.4007 (multiplicity 18)  2 Zn 2.71, 2 Au 2.76-2.80

=====

No. 13
Entry from the Alexandria database: CaBe3Br after structural relaxation (PBE).

Lattice parameters (Å, degrees): 5.6914 5.6914 5.6914 90.00 90.00 90.00
With the nearest neighbours (Å) after each atom.
Space group Pm-3m (No. 221)
One atom of each set of equivalent atoms:
Ca 0.0000 0.0000 0.0000 (multiplicity 1)  6 Be 2.85
Be 0.0000 0.0000 0.5000 (multiplicity 3)  2 Ca 2.85
Br 0.5000 0.5000 0.5000 (multiplicity 1)  12 Be 4.02

Values from the calculation:
- Uncorrected formation energy: 8.50 eV/f.u.

=====

No. 14
Entry from the Alexandria database: AgSnSbTe2 after structural relaxation (PBE).

Lattice parameters (Å, degrees): 5.5179 5.5179 5.2583 90.00 90.00 90.00
With the nearest neighbours (Å) after each atom.
Space group P4/mmm (No. 123)
One atom of each set of equivalent atoms:
Ag 0.0000 0.0000 0.0000 (multiplicity 1)  2 Sb 2.63, 4 Te 2.76
Sn 0.5000 0.5000 0.5000 (multiplicity 1)  8 Te 3.81, 4 Sb 3.90
Sb 0.0000 0.0000 0.5000 (multiplicity 1)  2 Ag 2.63
Te 0.0000 0.5000 0.0000 (multiplicity 2)  2 Ag 2.76

Values from the calculation:
- Uncorrected formation energy: 2.26 eV/f.u.

=====

No. 15
Entry from the Alexandria database: Tm2CoSe after structural relaxation (PBE).

Lattice parameters (Å, degrees): 3.9749 21.8153 3.9189 90.00 90.00 90.00
With the nearest neighbours (Å) after each atom.
Space group Cmcm (No. 63)
One atom of each set of equivalent atoms:
Tm 0.0000 0.0629 0.2500 (multiplicity 4)  6 Co 2.85-2.88, 1 Se 2.89
Tm 0.0000 0.3321 0.2500 (multiplicity 4)  5 Se 2.85-2.99, 1 Co 2.99
Co 0.0000 0.4693 0.2500 (multiplicity 4)  2 Co 2.37
Se 0.0000 0.1952 0.2500 (multiplicity 4)  6 Tm 2.85-2.99

Values from the calculation:
- Uncorrected formation energy: -3.90 eV/f.u.

=====

No. 16
Entry from the Alexandria database: AlSiMo after structural relaxation (PBE).

Lattice parameters (Å, degrees): 3.4843 4.2756 12.1468 90.00 90.00 90.00
With the nearest neighbours (Å) after each atom.
Space group Fmm2 (No. 42)
One atom of each set of equivalent atoms:
Al 0.0000 0.0000 0.0000 (multiplicity 4)  4 Mo 2.69-2.96, 4 Si 2.73-3.00, 4 Al 2.76
Si 0.0000 0.0000 0.6733 (multiplicity 4)  4 Mo 2.59-2.87, 2 Al 2.73, 4 Si 2.76
Mo 0.0000 0.0000 0.3309 (multiplicity 4)  4 Si 2.59-2.87, 2 Al 2.69, 4 Mo 2.76

Values from the calculation:
- Uncorrected formation energy: 0.23 eV/f.u.

=====

No. 17
Entry from the Alexandria database: LiCePrS3 after structural relaxation (PBE).

Lattice parameters (Å, degrees): 8.3934 3.9189 8.5824 90.00 101.18 90.00
With the nearest neighbours (Å) after each atom.
Space group P2_1/m (No. 11)
One atom of each set of equivalent atoms:
Li 0.0864 0.2500 0.0827 (multiplicity 2)  4 S 2.38-2.40
Ce 0.1739 0.2500 0.7145 (multiplicity 2)  7 S 2.87-3.03
Pr 0.3409 0.7500 0.3295 (multiplicity 2)  6 S 2.86-2.93
S 0.0940 0.2500 0.3631 (multiplicity 2)  1 Li 2.40
S 0.2024 0.7500 0.9885 (multiplicity 2)  3 Li 2.38-2.40
S 0.4116 0.7500 0.6724 (multiplicity 2)  3 Pr 2.86-2.89, 2 Ce 2.87

Values from the calculation:
- Uncorrected formation energy: -10.76 eV/f.u.

=====

No. 18
Entry from the Alexandria database: LiLuSc after structural relaxation (PBE).

Lattice parameters (Å, degrees): 3.3048 3.3048 8.0035 90.00 90.00 120.00
With the nearest neighbours (Å) after each atom.
Space group P3m1 (No. 156)
One atom of each set of equivalent atoms:
Li 0.0000 0.0000 0.0000 (multiplicity 1)  3 Sc 3.23, 6 Li 3.30, 3 Lu 3.35
Lu 0.6667 0.3333 0.3433 (multiplicity 1)  3 Sc 3.27, 6 Lu 3.30, 3 Li 3.35
Sc 0.3333 0.6667 0.6746 (multiplicity 1)  3 Li 3.23, 3 Lu 3.27, 6 Sc 3.30

=====

No. 19
Entry from the Alexandria database: GdPuPt after structural relaxation (PBE).

Lattice parameters (Å, degrees): 6.9136 6.9136 6.9136 90.00 90.00 90.00
With the nearest neighbours (Å) after each atom.
Space group F-43m (No. 216)
One atom of each set of equivalent atoms:
Gd 0.0000 0.0000 0.0000 (multiplicity 4)  4 Pt 2.99
Pu 0.0000 0.0000 0.5000 (multiplicity 4)  4 Pt 2.99
Pt 0.2500 0.2500 0.2500 (multiplicity 4)  4 Gd 2.99, 4 Pu 2.99

=====

No. 20
Entry from the Alexandria database: Ca2SbCl after structural relaxation (PBE).

Lattice parameters (Å, degrees): 7.6895 7.6895 7.6895 90.00 90.00 90.00
With the nearest neighbours (Å) after each atom.
Space group F-43m (No. 216)
One atom of each set of equivalent atoms:
Ca 0.0000 0.0000 0.0000 (multiplicity 4)  4 Cl 3.33, 4 Ca 3.33
Ca 0.2500 0.2500 0.2500 (multiplicity 4)  4 Ca 3.33, 4 Sb 3.33
Sb 0.0000 0.0000 0.5000 (multiplicity 4)  4 Ca 3.33, 4 Cl 3.33
Cl 0.2500 0.2500 0.7500 (multiplicity 4)  4 Sb 3.33, 4 Ca 3.33

Values from the calculation:
- Uncorrected formation energy: -2.47 eV/f.u.

=====

No. 21
Entry from the Alexandria database: Y4ScHg5 after structural relaxation (PBE).

Lattice parameters (Å, degrees): 3.6800 3.6800 18.5169 90.00 90.00 90.00
With the nearest neighbours (Å) after each atom.
Space group P4/mmm (No. 123)
One atom of each set of equivalent atoms:
Y 0.0000 0.0000 0.1023 (multiplicity 2)  8 Hg 3.21-3.22
Y 0.0000 0.0000 0.3067 (multiplicity 2)  8 Hg 3.22-3.24, 1 Sc 3.58
Sc 0.0000 0.0000 0.5000 (multiplicity 1)  8 Hg 3.08
Hg 0.5000 0.5000 0.0000 (multiplicity 1)  8 Y 3.22
Hg 0.5000 0.5000 0.2042 (multiplicity 2)  8 Y 3.21-3.22
Hg 0.5000 0.5000 0.4108 (multiplicity 2)  4 Sc 3.08, 4 Y 3.24, 1 Hg 3.30

=====

No. 22
Entry from the Alexandria database: LiAcCd2Ag2 after structural relaxation (PBE).

Lattice parameters (Å, degrees): 5.4326 5.4326 11.1368 90.00 90.00 90.00
With the nearest neighbours (Å) after each atom.
Space group I4/mmm (No. 139)
One atom of each set of equivalent atoms:
Li 0.0000 0.0000 0.0000 (multiplicity 2)  2 Ag 2.40
Ac 0.0000 0.0000 0.5000 (multiplicity 2)  2 Ag 3.17
Cd 0.0000 0.5000 0.2500 (multiplicity 4)  4 Ag 2.74
Ag 0.0000 0.0000 0.2151 (multiplicity 4)  1 Li 2.40

=====

No. 23
Entry from the Alexandria database: HfMgCl3 after structural relaxation (PBE).

Lattice parameters (Å, degrees): 5.0409 5.0409 5.0409 90.00 90.00 90.00
With the nearest neighbours (Å) after each atom.
Space group Pm-3m (No. 221)
One atom of each set of equivalent atoms:
Hf 0.0000 0.0000 0.0000 (multiplicity 1)  6 Cl 2.52
Mg 0.5000 0.5000 0.5000 (multiplicity 1)  12 Cl 3.56
Cl 0.0000 0.0000 0.5000 (multiplicity 3)  2 Hf 2.52

Values from the calculation:
- Uncorrected formation energy: -4.22 eV/f.u.

=====

No. 24
Entry from the Alexandria database: Ca2ZrTe after structural relaxation (PBE).

Lattice parameters (Å, degrees): 3.8971 3.8971 29.7319 90.00 90.00 120.00
With the nearest neighbours (Å) after each atom.
Space group R-3m (No. 166, hexagonal axes)
One atom of each set of equivalent atoms:
Ca 0.0000 0.0000 0.2367 (multiplicity 6)  3 Te 3.07
Zr 0.0000 0.0000 0.0000 (multiplicity 3)  6 Ca 3.65, 6 Zr 3.90
Te 0.0000 0.0000 0.5000 (multiplicity 3)  6 Ca 3.07

Values from the calculation:
- Uncorrected formation energy: -0.93 eV/f.u.

=====

No. 25
Entry from the Alexandria database: KBi2Pb3 after structural relaxation (PBE).

Lattice parameters (Å, degrees): 4.7318 11.3179 16.3461 90.00 90.00 90.00
With the nearest neighbours (Å) after each atom.
Space group Immm (No. 71)
One atom of each set of equivalent atoms:
K 0.0000 0.0000 0.1367 (multiplicity 4)  6 Bi 3.73-3.82, 6 Pb 3.84-4.10
Bi 0.0000 0.3398 0.5000 (multiplicity 4)  4 Pb 3.17-3.28
Bi 0.0000 0.5000 0.1800 (multiplicity 4)  6 Pb 3.36-3.41
Pb 0.0000 0.2106 0.3206 (multiplicity 8)  3 Bi 3.28-3.36, 2 Pb 3.42
Pb 0.0000 0.3471 0.0000 (multiplicity 4)  4 Bi 3.17-3.41, 1 Pb 3.46

=====

No. 26
Entry from the Alexandria database: HoPb2 after structural relaxation (PBE).

Lattice parameters (Å, degrees): 5.3312 5.7493 6.2785 90.00 114.90 90.00
With the nearest neighbours (Å) after each atom.
Space group C2/m (No. 12)
One atom of each set of equivalent atoms:
Ho 0.0000 0.0000 0.0000 (multiplicity 2)  8 Pb 3.27-3.44
Pb 0.1656 0.5000 0.3324 (multiplicity 4)  4 Ho 3.27-3.44, 4 Pb 3.27-3.45

=====

no.,energy (eV/atom)
1,-6.676
2,-4.567
3,-3.255
4,-6.971
5,-3.771
6,-3.671
7,-2.755
8,-3.776
9,-4.224
10,-1.609
11,-4.301
12,-2.768
13,-1.272
14,-2.999
15,-5.858
16,-6.589
17,-5.962
18,-4.109
19,-12.074
20,-3.110
21,-3.859
22,-2.202
23,-4.261
24,-4.157
25,-3.436
26,-4.178